Here is a relaxed structure of Sm3Y2Pd2 from the Alexandria database. Energies are from PBE-GGA.

Cell lengths 6.4895, 6.4895, 9.1104 Å; angles 114.10, 114.10, 34.16 degrees
Positions (direct):
Sm1 0.0000 0.0000 0.0000
Sm2 0.1145 0.1145 0.4404
Sm3 0.8855 0.8855 0.5596
Y1 0.3418 0.3418 0.1885
Y2 0.6582 0.6582 0.8115
Pd1 0.3303 0.3303 0.7709
Pd2 0.6697 0.6697 0.2291

V   27.83 Å³/atom
Space-group type   C2/m
Total energy   -5.84 eV per atom
Energy relative to the elements   -483 meV per atom


Here is a relaxed structure of SmY3Pd4 from the Alexandria database. Energies are from PBE-GGA.

Cell lengths 6.1273, 6.1273, 6.1273 Å; angles 109.47, 109.47, 109.47 degrees
Positions (direct):
Sm1 0.0000 0.0000 0.0000
Y1 0.0000 0.5000 0.5000
Y2 0.5000 0.0000 0.5000
Y3 0.5000 0.5000 0.0000
Pd1 0.0000 0.0000 0.5000
Pd2 0.0000 0.5000 0.0000
Pd3 0.5000 0.0000 0.0000
Pd4 0.5000 0.5000 0.5000

V   22.14 Å³/atom
Space-group type   Im-3m
Total energy   -6.46 eV per atom
Energy relative to the elements   -849 meV per atom


Here is a relaxed structure of SmYPd14 from the Alexandria database. Energies are from PBE-GGA.

Cell lengths 5.7851, 5.7851, 7.9799 Å; angles 90.00, 90.00, 90.00 degrees
Positions (direct):
Sm1 0.0000 0.0000 0.0000
Y1 0.5000 0.5000 0.0000
Pd1 0.0000 0.0000 0.5000
Pd2 0.0000 0.5000 0.0000
Pd3 0.0000 0.5000 0.5000
Pd4 0.2510 0.2510 0.2607
Pd5 0.2510 0.2510 0.7393
Pd6 0.2510 0.7490 0.2607
Pd7 0.2510 0.7490 0.7393
Pd8 0.5000 0.0000 0.0000
Pd9 0.5000 0.0000 0.5000
Pd10 0.5000 0.5000 0.5000
Pd11 0.7490 0.2510 0.2607
Pd12 0.7490 0.2510 0.7393
Pd13 0.7490 0.7490 0.2607
Pd14 0.7490 0.7490 0.7393

V   16.69 Å³/atom
Space-group type   P4/mmm
Total energy   -5.63 eV per atom
Energy relative to the elements   -386 meV per atom


Here is a relaxed structure of Sm4Y3Pd4 from the Alexandria database. Energies are from PBE-GGA.

Cell lengths 9.4453, 9.4453, 9.4453 Å; angles 156.23, 120.70, 64.81 degrees
Positions (direct):
Sm1 0.0259 0.8398 0.1861
Sm2 0.3463 0.1602 0.1861
Sm3 0.6537 0.8398 0.8139
Sm4 0.9741 0.1602 0.8139
Y1 0.0000 0.5000 0.5000
Y2 0.3917 0.3917 0.0000
Y3 0.6083 0.6083 0.0000
Pd1 0.2461 0.7461 0.5000
Pd2 0.3380 0.0000 0.3380
Pd3 0.6620 0.0000 0.6620
Pd4 0.7539 0.2539 0.5000

V   26.36 Å³/atom
Space-group type   Immm
Total energy   -5.91 eV per atom
Energy relative to the elements   -542 meV per atom


Here is a relaxed structure of Sm4YPd2 from the Alexandria database. Energies are from PBE-GGA.

Cell lengths 15.3015, 15.3015, 15.3015 Å; angles 15.28, 15.28, 15.28 degrees
Positions (direct):
Sm1 0.1047 0.1047 0.1047
Sm2 0.3013 0.3013 0.3013
Sm3 0.6987 0.6987 0.6987
Sm4 0.8953 0.8953 0.8953
Y1 0.5000 0.5000 0.5000
Pd1 0.4016 0.4016 0.4016
Pd2 0.5984 0.5984 0.5984

V   30.97 Å³/atom
Space-group type   R-3m
Total energy   -5.41 eV per atom
Energy relative to the elements   -305 meV per atom


Here is a relaxed structure of SmYPd from the Alexandria database. Energies are from PBE-GGA.

Cell lengths 15.1684, 3.8347, 8.2476 Å; angles 90.00, 90.00, 90.00 degrees
Positions (direct):
Sm1 0.0554 0.0000 0.1977
Sm2 0.2500 0.0000 0.8729
Sm3 0.4446 0.0000 0.1977
Sm4 0.5554 0.0000 0.8023
Sm5 0.7500 0.0000 0.1271
Sm6 0.9446 0.0000 0.8023
Y1 0.1096 0.5000 0.5783
Y2 0.2500 0.5000 0.2391
Y3 0.3904 0.5000 0.5783
Y4 0.6096 0.5000 0.4217
Y5 0.7500 0.5000 0.7609
Y6 0.8904 0.5000 0.4217
Pd1 0.0952 0.5000 0.9313
Pd2 0.2500 0.0000 0.5040
Pd3 0.4048 0.5000 0.9313
Pd4 0.5952 0.5000 0.0687
Pd5 0.7500 0.0000 0.4960
Pd6 0.9048 0.5000 0.0687

V   26.65 Å³/atom
Space-group type   Pmma
Total energy   -6.04 eV per atom
Energy relative to the elements   -580 meV per atom


Here is a relaxed structure of Sm3Y4Pd4 from the Alexandria database. Energies are from PBE-GGA.

Cell lengths 8.9990, 8.9990, 8.9990 Å; angles 149.24, 129.81, 60.03 degrees
Positions (direct):
Sm1 0.0000 0.0000 0.0000
Sm2 0.3983 0.8983 0.5000
Sm3 0.6017 0.1017 0.5000
Y1 0.0451 0.3280 0.7171
Y2 0.3891 0.6720 0.7171
Y3 0.6109 0.3280 0.2829
Y4 0.9549 0.6720 0.2829
Pd1 0.2031 0.2031 0.0000
Pd2 0.3172 0.5000 0.8172
Pd3 0.6828 0.5000 0.1829
Pd4 0.7969 0.7969 0.0000

V   25.81 Å³/atom
Space-group type   Immm
Total energy   -6.07 eV per atom
Energy relative to the elements   -548 meV per atom


Here is a relaxed structure of SmYPd from the Alexandria database. Energies are from PBE-GGA.

Cell lengths 4.9466, 4.9466, 4.9466 Å; angles 60.00, 60.00, 60.00 degrees
Positions (direct):
Sm1 0.0000 0.0000 0.0000
Y1 0.5000 0.5000 0.5000
Pd1 0.7500 0.7500 0.7500

V   28.53 Å³/atom
Space-group type   F-43m
Total energy   -5.89 eV per atom
Energy relative to the elements   -432 meV per atom


Here is a relaxed structure of SmYPd from the Alexandria database. Energies are from PBE-GGA.

Cell lengths 6.6873, 6.6873, 7.2039 Å; angles 105.80, 105.80, 31.13 degrees
Positions (direct):
Sm1 0.1382 0.1382 0.0685
Sm2 0.8618 0.8618 0.9315
Y1 0.1368 0.1368 0.5685
Y2 0.8632 0.8632 0.4315
Pd1 0.4985 0.4985 0.2602
Pd2 0.5015 0.5015 0.7398

V   26.62 Å³/atom
Space-group type   C2/m
Total energy   -5.97 eV per atom
Energy relative to the elements   -513 meV per atom


Here is a relaxed structure of SmY6Pd3 from the Alexandria database. Energies are from PBE-GGA.

Cell lengths 8.7651, 8.7651, 7.2721 Å; angles 90.00, 90.00, 98.54 degrees
Positions (direct):
Sm1 0.1830 0.8170 0.5000
Sm2 0.8170 0.1830 0.0000
Y1 0.0805 0.4656 0.7191
Y2 0.1299 0.2086 0.3720
Y3 0.2086 0.1299 0.8720
Y4 0.2697 0.7303 0.0222
Y5 0.4656 0.0805 0.2191
Y6 0.4666 0.5334 0.3802
Y7 0.5334 0.4666 0.8802
Y8 0.5344 0.9195 0.7191
Y9 0.7303 0.2697 0.5222
Y10 0.7914 0.8701 0.3720
Y11 0.8701 0.7914 0.8720
Y12 0.9195 0.5344 0.2191
Pd1 0.0759 0.9241 0.1642
Pd2 0.2093 0.4132 0.0859
Pd3 0.4132 0.2093 0.5859
Pd4 0.5868 0.7907 0.0859
Pd5 0.7907 0.5868 0.5859
Pd6 0.9241 0.0759 0.6642

V   27.62 Å³/atom
Space-group type   Cmc2_1
Total energy   -6.40 eV per atom
Energy relative to the elements   -497 meV per atom


Here is a relaxed structure of Sm2Y2Pd3 from the Alexandria database. Energies are from PBE-GGA.

Cell lengths 4.9853, 5.0122, 7.8636 Å; angles 71.62, 71.69, 89.98 degrees
Positions (direct):
Sm1 0.1260 0.1284 0.2514
Sm2 0.8740 0.8716 0.7486
Y1 0.3716 0.3713 0.7529
Y2 0.6284 0.6287 0.2471
Pd1 0.2443 0.7467 0.0134
Pd2 0.5000 0.0000 0.5000
Pd3 0.7557 0.2533 0.9866

V   25.14 Å³/atom
Space-group type   P-1
Total energy   -6.08 eV per atom
Energy relative to the elements   -662 meV per atom


Here is a relaxed structure of SmYPd from the Alexandria database. Energies are from PBE-GGA.

Cell lengths 7.2152, 7.2152, 7.2152 Å; angles 30.52, 30.52, 30.52 degrees
Positions (direct):
Sm1 0.0000 0.0000 0.0000
Y1 0.1840 0.1840 0.1840
Pd1 0.7612 0.7612 0.7612

V   28.62 Å³/atom
Space-group type   R3m
Total energy   -5.87 eV per atom
Energy relative to the elements   -408 meV per atom


Here is a relaxed structure of Sm4YPd2 from the Alexandria database. Energies are from PBE-GGA.

Cell lengths 7.9718, 6.4689, 8.2681 Å; angles 90.00, 113.32, 90.00 degrees
Positions (direct):
Sm1 0.0185 0.2500 0.3899
Sm2 0.2450 0.7500 0.3475
Sm3 0.4085 0.0067 0.7738
Sm4 0.4085 0.4933 0.7738
Sm5 0.5915 0.5067 0.2262
Sm6 0.5915 0.9933 0.2262
Sm7 0.7550 0.2500 0.6525
Sm8 0.9815 0.7500 0.6101
Y1 0.1567 0.2500 0.0289
Y2 0.8433 0.7500 0.9711
Pd1 0.2254 0.7500 0.9910
Pd2 0.3794 0.2500 0.4143
Pd3 0.6206 0.7500 0.5857
Pd4 0.7746 0.2500 0.0090

V   27.97 Å³/atom
Space-group type   P2_1/m
Total energy   -5.49 eV per atom
Energy relative to the elements   -389 meV per atom


Here is a relaxed structure of SmY2Pd3 from the Alexandria database. Energies are from PBE-GGA.

Cell lengths 5.0538, 15.1876, 3.4624 Å; angles 90.00, 90.00, 90.00 degrees
Positions (direct):
Sm1 0.2500 0.2500 0.0011
Sm2 0.7500 0.7500 0.9989
Y1 0.2500 0.5827 0.9997
Y2 0.2500 0.9173 0.9997
Y3 0.7500 0.0827 0.0003
Y4 0.7500 0.4173 0.0003
Pd1 0.2500 0.0795 0.5003
Pd2 0.2500 0.4205 0.5003
Pd3 0.2500 0.7500 0.4990
Pd4 0.7500 0.2500 0.5010
Pd5 0.7500 0.5795 0.4997
Pd6 0.7500 0.9205 0.4997

V   22.15 Å³/atom
Space-group type   Pmmn
Total energy   -6.39 eV per atom
Energy relative to the elements   -848 meV per atom


Here is a relaxed structure of SmYPd from the Alexandria database. Energies are from PBE-GGA.

Cell lengths 6.6913, 6.6913, 6.6913 Å; angles 148.87, 148.87, 44.60 degrees
Positions (direct):
Sm1 0.0000 0.0000 0.0000
Y1 0.2750 0.2750 0.0000
Pd1 0.6448 0.6448 0.0000

V   26.61 Å³/atom
Space-group type   I4mm
Total energy   -5.97 eV per atom
Energy relative to the elements   -515 meV per atom


Here is a relaxed structure of Sm2Y2ZnPd4 from the Alexandria database. Energies are from PBE-GGA.

Cell lengths 6.5067, 6.5067, 6.5067 Å; angles 115.85, 115.85, 97.35 degrees
Positions (direct):
Sm1 0.1872 0.1872 0.0000
Sm2 0.8128 0.8128 0.0000
Y1 0.2500 0.7500 0.5000
Y2 0.7500 0.2500 0.5000
Zn1 0.5000 0.5000 0.0000
Pd1 0.2449 0.2449 0.4898
Pd2 0.2449 0.7551 0.0000
Pd3 0.7551 0.2449 0.0000
Pd4 0.7551 0.7551 0.5102

V   22.80 Å³/atom
Space-group type   I4/mmm
Total energy   -5.40 eV per atom
Energy relative to the elements   -467 meV per atom


Here is a relaxed structure of SmYZnPd from the Alexandria database. Energies are from PBE-GGA.

Cell lengths 3.5990, 3.5990, 7.0817 Å; angles 90.00, 90.00, 90.00 degrees
Positions (direct):
Sm1 0.0000 0.0000 0.0000
Y1 0.0000 0.0000 0.4907
Zn1 0.5000 0.5000 0.7367
Pd1 0.5000 0.5000 0.2546

V   22.93 Å³/atom
Space-group type   P4mm
Total energy   -5.01 eV per atom
Energy relative to the elements   -593 meV per atom


Here is a relaxed structure of SmYZnPd from the Alexandria database. Energies are from PBE-GGA.

Cell lengths 5.0650, 5.0650, 5.0650 Å; angles 60.00, 60.00, 60.00 degrees
Positions (direct):
Sm1 0.0000 0.0000 0.0000
Y1 0.5000 0.5000 0.5000
Zn1 0.2500 0.2500 0.2500
Pd1 0.7500 0.7500 0.7500

V   22.97 Å³/atom
Space-group type   F-43m
Total energy   -4.98 eV per atom
Energy relative to the elements   -568 meV per atom


Here is a relaxed structure of YbSmPd2 from the Alexandria database. Energies are from PBE-GGA.

Cell lengths 5.0042, 5.0042, 5.0042 Å; angles 60.00, 60.00, 60.00 degrees
Positions (direct):
Yb1 0.0000 0.0000 0.0000
Sm1 0.5000 0.5000 0.5000
Pd1 0.2500 0.2500 0.2500
Pd2 0.7500 0.7500 0.7500

V   22.15 Å³/atom
Space-group type   Fm-3m
Total energy   -4.97 eV per atom
Energy relative to the elements   -814 meV per atom


Here is a relaxed structure of SmZn2Pd3 from the Alexandria database. Energies are from PBE-GGA.

Cell lengths 4.4268, 4.4268, 12.5502 Å; angles 90.00, 90.00, 120.00 degrees
Positions (direct):
Sm1 0.0000 0.0000 0.2500
Sm2 0.0000 0.0000 0.7500
Zn1 0.3333 0.6667 0.0791
Zn2 0.3333 0.6667 0.4209
Zn3 0.6667 0.3333 0.5791
Zn4 0.6667 0.3333 0.9209
Pd1 0.0000 0.0000 0.0000
Pd2 0.0000 0.0000 0.5000
Pd3 0.3333 0.6667 0.6269
Pd4 0.3333 0.6667 0.8731
Pd5 0.6667 0.3333 0.1269
Pd6 0.6667 0.3333 0.3731

V   17.75 Å³/atom
Space-group type   P6_3/mmc
Total energy   -4.48 eV per atom
Energy relative to the elements   -674 meV per atom